# 1
DFT (GGA-PBE) results for an optimized crystal structure of K2NpCu2O6.

Geometry as CIF:
```
data_K2NpCu2O6
_cell_length_a 6.607
_cell_length_b 6.607
_cell_length_c 6.607
_cell_angle_alpha 54.21
_cell_angle_beta 54.21
_cell_angle_gamma 54.21
_space_group_name_H-M_alt 'P 1'
_space_group_IT_number 1
loop_
_space_group_symop_operation_xyz
'x,y,z'
loop_
_atom_site_label
_atom_site_fract_x
_atom_site_fract_y
_atom_site_fract_z
K1 0.217 0.217 0.217
K2 0.783 0.783 0.783
Np1 0.000 0.000 0.000
Cu1 0.416 0.416 0.416
Cu2 0.584 0.584 0.584
O1 0.229 0.229 0.765
O2 0.229 0.765 0.229
O3 0.235 0.771 0.771
O4 0.765 0.229 0.229
O5 0.771 0.235 0.771
O6 0.771 0.771 0.235
```

Calculated values
* theoretical density: 5.1 Mg/m³
* space group: No. 166
* total DFT energy (no corrections): -71.969 eV/cell
* uncorrected formation energy: -1717 meV per atom

=====

# 2
DFT (GGA-PBE) results for an optimized crystal structure of Pr6Nd2Sc.

Geometry as CIF:
```
data_Pr6Nd2Sc
_cell_length_a 6.306
_cell_length_b 6.306
_cell_length_c 8.722
_cell_angle_alpha 103.14
_cell_angle_beta 103.14
_cell_angle_gamma 70.70
_space_group_name_H-M_alt 'P 1'
_space_group_IT_number 1
loop_
_space_group_symop_operation_xyz
'x,y,z'
loop_
_atom_site_label
_atom_site_fract_x
_atom_site_fract_y
_atom_site_fract_z
Pr1 0.171 0.171 0.583
Pr2 0.186 0.704 0.791
Pr3 0.296 0.814 0.209
Pr4 0.704 0.186 0.791
Pr5 0.814 0.296 0.209
Pr6 0.829 0.829 0.417
Nd1 0.277 0.277 0.048
Nd2 0.723 0.723 0.952
Sc1 0.500 0.500 0.500
```

Calculated values
* ΔE to the lowest computed polymorph: 60 meV/atom
* theoretical density: 6.2 Mg/m³
* space group: No. 12
* total DFT energy (no corrections): -43.228 eV/cell
* ΔH_f (0 K): 0.146 eV/atom

=====

# 3
DFT (GGA-PBE) results for an optimized crystal structure of MgCd5In6.

Geometry as CIF:
```
data_MgCd5In6
_cell_length_a 8.536
_cell_length_b 8.536
_cell_length_c 4.733
_cell_angle_alpha 105.30
_cell_angle_beta 105.30
_cell_angle_gamma 106.82
_space_group_name_H-M_alt 'P 1'
_space_group_IT_number 1
loop_
_space_group_symop_operation_xyz
'x,y,z'
loop_
_atom_site_label
_atom_site_fract_x
_atom_site_fract_y
_atom_site_fract_z
Mg1 0.000 0.000 0.000
Cd1 0.170 0.830 0.500
Cd2 0.338 0.662 0.000
Cd3 0.500 0.500 0.500
Cd4 0.662 0.338 0.000
Cd5 0.830 0.170 0.500
In1 0.080 0.412 0.244
In2 0.245 0.245 0.742
In3 0.412 0.080 0.244
In4 0.588 0.920 0.756
In5 0.755 0.755 0.258
In6 0.920 0.588 0.756
```

Calculated values
* theoretical density: 7.2 Mg/m³
* space group: No. 12
* total DFT energy (no corrections): -22.465 eV/cell
* ΔH_f (0 K): 0.011 eV/atom

=====

# 4
DFT (GGA-PBE) results for an optimized crystal structure of LuBiSb2.

Geometry as CIF:
```
data_LuBiSb2
_cell_length_a 7.730
_cell_length_b 7.730
_cell_length_c 7.730
_cell_angle_alpha 33.21
_cell_angle_beta 33.21
_cell_angle_gamma 33.21
_space_group_name_H-M_alt 'P 1'
_space_group_IT_number 1
loop_
_space_group_symop_operation_xyz
'x,y,z'
loop_
_atom_site_label
_atom_site_fract_x
_atom_site_fract_y
_atom_site_fract_z
Lu1 0.000 0.000 0.000
Bi1 0.500 0.500 0.500
Sb1 0.254 0.254 0.254
Sb2 0.746 0.746 0.746
```

Calculated values
* ΔE to the lowest computed polymorph: 0 meV/atom
* theoretical density: 8.4 Mg/m³
* space group: No. 166
* total DFT energy (no corrections): -18.153 eV/cell
* uncorrected formation energy: -376 meV per atom

=====

# 5
DFT (GGA-PBE) results for an optimized crystal structure of Mn2InIr.

Geometry as CIF:
```
data_Mn2InIr
_cell_length_a 4.457
_cell_length_b 4.457
_cell_length_c 4.457
_cell_angle_alpha 60.00
_cell_angle_beta 60.00
_cell_angle_gamma 60.00
_space_group_name_H-M_alt 'P 1'
_space_group_IT_number 1
loop_
_space_group_symop_operation_xyz
'x,y,z'
loop_
_atom_site_label
_atom_site_fract_x
_atom_site_fract_y
_atom_site_fract_z
Mn1 0.000 0.000 0.000
Mn2 0.250 0.250 0.250
In1 0.500 0.500 0.500
Ir1 0.750 0.750 0.750
```

Calculated values
* theoretical density: 11.1 Mg/m³
* space group: No. 216
* total DFT energy (no corrections): -29.945 eV/cell
* ΔH_f (0 K): -0.001 eV/atom

=====

# 6
DFT (GGA-PBE) results for an optimized crystal structure of Th3OsPbC.

Geometry as CIF:
```
data_Th3OsPbC
_cell_length_a 9.071
_cell_length_b 4.183
_cell_length_c 9.670
_cell_angle_alpha 90.00
_cell_angle_beta 103.74
_cell_angle_gamma 90.00
_space_group_name_H-M_alt 'P 1'
_space_group_IT_number 1
loop_
_space_group_symop_operation_xyz
'x,y,z'
loop_
_atom_site_label
_atom_site_fract_x
_atom_site_fract_y
_atom_site_fract_z
Th1 0.051 0.250 0.356
Th2 0.328 0.250 0.965
Th3 0.376 0.750 0.645
Th4 0.624 0.250 0.355
Th5 0.672 0.750 0.035
Th6 0.949 0.750 0.644
Os1 0.161 0.250 0.651
Os2 0.839 0.750 0.349
Pb1 0.304 0.750 0.260
Pb2 0.696 0.250 0.740
C1 0.421 0.750 0.893
C2 0.579 0.250 0.107
```

Calculated values
* theoretical density: 10.3 Mg/m³
* space group: No. 11
* total DFT energy (no corrections): -94.879 eV/cell
* ΔH_f (0 K): -0.170 eV/atom

=====

# 7
DFT (GGA-PBE) results for an optimized crystal structure of Tb4Tm3Pu.

Geometry as CIF:
```
data_Tb4Tm3Pu
_cell_length_a 4.948
_cell_length_b 9.963
_cell_length_c 9.909
_cell_angle_alpha 90.00
_cell_angle_beta 90.00
_cell_angle_gamma 90.00
_space_group_name_H-M_alt 'P 1'
_space_group_IT_number 1
loop_
_space_group_symop_operation_xyz
'x,y,z'
loop_
_atom_site_label
_atom_site_fract_x
_atom_site_fract_y
_atom_site_fract_z
Tb1 0.250 0.002 0.130
Tb2 0.250 0.250 0.873
Tb3 0.250 0.498 0.130
Tb4 0.250 0.750 0.871
Tb5 0.750 0.250 0.129
Tb6 0.750 0.502 0.870
Tb7 0.750 0.750 0.127
Tb8 0.750 0.998 0.870
Tm1 0.250 0.000 0.620
Tm2 0.250 0.500 0.620
Tm3 0.250 0.750 0.381
Tm4 0.750 0.000 0.380
Tm5 0.750 0.250 0.619
Tm6 0.750 0.500 0.380
Pu1 0.250 0.250 0.375
Pu2 0.750 0.750 0.625
```

Calculated values
* ΔE to the lowest computed polymorph: 0 meV/atom
* theoretical density: 9.4 Mg/m³
* space group: No. 59
* total DFT energy (no corrections): -91.629 eV/cell
* ΔH_f (0 K): 0.057 eV/atom

=====

# 8
DFT (GGA-PBE) results for an optimized crystal structure of CrNi2Bi2.

Geometry as CIF:
```
data_CrNi2Bi2
_cell_length_a 7.062
_cell_length_b 7.062
_cell_length_c 3.729
_cell_angle_alpha 90.00
_cell_angle_beta 90.00
_cell_angle_gamma 90.00
_space_group_name_H-M_alt 'P 1'
_space_group_IT_number 1
loop_
_space_group_symop_operation_xyz
'x,y,z'
loop_
_atom_site_label
_atom_site_fract_x
_atom_site_fract_y
_atom_site_fract_z
Cr1 0.000 0.000 0.000
Cr2 0.500 0.500 0.000
Ni1 0.125 0.375 0.000
Ni2 0.375 0.875 0.000
Ni3 0.625 0.125 0.000
Ni4 0.875 0.625 0.000
Bi1 0.176 0.676 0.500
Bi2 0.324 0.176 0.500
Bi3 0.676 0.824 0.500
Bi4 0.824 0.324 0.500
```

Calculated values
* theoretical density: 10.5 Mg/m³
* space group: No. 127
* total DFT energy (no corrections): -55.059 eV/cell
* ΔH_f (0 K): 0.284 eV/atom